# 1
The following is a PBE-GGA calculation of an optimized crystal structure of Nd5Bi4H3, from the Alexandria database.

Properties
Total magnetization in μB per cell: 0.00
Uncorrected energy in eV per atom: -4.550

The structure in CIF format:
```
data_Nd5Bi4H3
_cell_length_a 4.515
_cell_length_b 8.457
_cell_length_c 10.696
_cell_angle_alpha 65.11
_cell_angle_beta 77.82
_cell_angle_gamma 74.52
_symmetry_space_group_name_H-M 'P 1'
_symmetry_Int_Tables_number 1
loop_
_symmetry_equiv_pos_as_xyz
'x,y,z'
loop_
_atom_site_label
_atom_site_fract_x
_atom_site_fract_y
_atom_site_fract_z
_atom_site_occupancy
H1 0.000 0.500 0.500 1
H2 0.503 0.721 0.274 1
H3 0.497 0.279 0.726 1
Nd1 0.500 0.500 0.500 1
Nd2 0.667 0.510 0.156 1
Nd3 0.928 0.858 0.286 1
Nd4 0.333 0.490 0.844 1
Nd5 0.072 0.142 0.714 1
Bi1 0.701 0.150 0.447 1
Bi2 0.116 0.777 0.992 1
Bi3 0.884 0.223 0.008 1
Bi4 0.299 0.850 0.553 1
```

---

# 2
The following is a PBE-GGA calculation of an optimized crystal structure of PuTlIn4, from the Alexandria database.

Properties
Total magnetization in μB per cell: 6.01
Energy above the most stable polymorph in this dataset in meV/atom: 40
Formation energy from the elements in eV/atom: 0.03

The structure in CIF format:
```
data_PuTlIn4
_cell_length_a 6.169
_cell_length_b 6.169
_cell_length_c 6.169
_cell_angle_alpha 60.00
_cell_angle_beta 60.00
_cell_angle_gamma 60.00
_symmetry_space_group_name_H-M 'P 1'
_symmetry_Int_Tables_number 1
loop_
_symmetry_equiv_pos_as_xyz
'x,y,z'
loop_
_atom_site_label
_atom_site_fract_x
_atom_site_fract_y
_atom_site_fract_z
_atom_site_occupancy
In1 0.124 0.625 0.625 1
In2 0.625 0.625 0.625 1
In3 0.625 0.625 0.124 1
In4 0.625 0.124 0.625 1
Pu1 0.000 0.000 0.000 1
Tl1 0.250 0.250 0.250 1
```

---

# 3
The following is a PBE-GGA calculation of an optimized crystal structure of PW3, from the Alexandria database.

Properties
Total magnetization in μB per cell: 0.00
Energy above the most stable polymorph in this dataset in meV/atom: 324
Formation energy from the elements in eV/atom: 0.19

The structure in CIF format:
```
data_PW3
_cell_length_a 3.148
_cell_length_b 3.148
_cell_length_c 6.106
_cell_angle_alpha 90.00
_cell_angle_beta 90.00
_cell_angle_gamma 90.00
_symmetry_space_group_name_H-M 'P 1'
_symmetry_Int_Tables_number 1
loop_
_symmetry_equiv_pos_as_xyz
'x,y,z'
loop_
_atom_site_label
_atom_site_fract_x
_atom_site_fract_y
_atom_site_fract_z
_atom_site_occupancy
W1 0.500 0.500 0.763 1
W2 0.500 0.500 0.237 1
W3 0.000 0.000 0.500 1
P1 0.000 0.000 0.000 1
```

---

# 4
The following is a PBE-GGA calculation of an optimized crystal structure of GaNiSn2Te, from the Alexandria database.

Properties
Total magnetization in μB per cell: 0.00
ΔE_f (raw) in meV/atom: -145

The structure in CIF format:
```
data_GaNiSn2Te
_cell_length_a 5.101
_cell_length_b 5.101
_cell_length_c 4.652
_cell_angle_alpha 90.00
_cell_angle_beta 90.00
_cell_angle_gamma 90.00
_symmetry_space_group_name_H-M 'P 1'
_symmetry_Int_Tables_number 1
loop_
_symmetry_equiv_pos_as_xyz
'x,y,z'
loop_
_atom_site_label
_atom_site_fract_x
_atom_site_fract_y
_atom_site_fract_z
_atom_site_occupancy
Sn1 0.000 0.500 0.000 1
Sn2 0.500 0.000 0.000 1
Ga1 0.000 0.000 0.500 1
Ni1 0.000 0.000 0.000 1
Te1 0.500 0.500 0.500 1
```

---

# 5
The following is a PBE-GGA calculation of an optimized crystal structure of Zn2IrOs, from the Alexandria database.

Properties
Total magnetization in μB per cell: 0.00
Energy above the most stable polymorph in this dataset in meV/atom: 51
Formation energy from the elements in eV/atom: 0.06

The structure in CIF format:
```
data_Zn2IrOs
_cell_length_a 8.674
_cell_length_b 8.674
_cell_length_c 8.674
_cell_angle_alpha 18.45
_cell_angle_beta 18.45
_cell_angle_gamma 18.45
_symmetry_space_group_name_H-M 'P 1'
_symmetry_Int_Tables_number 1
loop_
_symmetry_equiv_pos_as_xyz
'x,y,z'
loop_
_atom_site_label
_atom_site_fract_x
_atom_site_fract_y
_atom_site_fract_z
_atom_site_occupancy
Os1 0.750 0.750 0.750 1
Ir1 0.250 0.250 0.250 1
Zn1 0.501 0.501 0.501 1
Zn2 0.999 0.999 0.999 1
```

---

# 6
The following is a PBE-GGA calculation of an optimized crystal structure of ErUO4, from the Alexandria database.

Properties
Total magnetization in μB per cell: 1.00
ΔE_f (raw) in meV/atom: -3440

The structure in CIF format:
```
data_ErUO4
_cell_length_a 3.541
_cell_length_b 5.024
_cell_length_c 5.024
_cell_angle_alpha 88.59
_cell_angle_beta 90.00
_cell_angle_gamma 90.00
_symmetry_space_group_name_H-M 'P 1'
_symmetry_Int_Tables_number 1
loop_
_symmetry_equiv_pos_as_xyz
'x,y,z'
loop_
_atom_site_label
_atom_site_fract_x
_atom_site_fract_y
_atom_site_fract_z
_atom_site_occupancy
U1 0.500 0.000 0.000 1
O1 0.000 0.185 0.185 1
O2 0.000 0.815 0.815 1
O3 0.500 0.701 0.299 1
O4 0.500 0.299 0.701 1
Er1 0.000 0.500 0.500 1
```

---

# 7
The following is a PBE-GGA calculation of an optimized crystal structure of Sm2ScCo, from the Alexandria database.

Properties
Total magnetization in μB per cell: 0.30
Formation energy from the elements in eV/atom: 0.29

The structure in CIF format:
```
data_Sm2ScCo
_cell_length_a 3.518
_cell_length_b 3.518
_cell_length_c 10.373
_cell_angle_alpha 80.24
_cell_angle_beta 80.24
_cell_angle_gamma 60.00
_symmetry_space_group_name_H-M 'P 1'
_symmetry_Int_Tables_number 1
loop_
_symmetry_equiv_pos_as_xyz
'x,y,z'
loop_
_atom_site_label
_atom_site_fract_x
_atom_site_fract_y
_atom_site_fract_z
_atom_site_occupancy
Sc1 0.000 0.000 0.000 1
Co1 0.500 0.500 0.500 1
Sm1 0.891 0.891 0.326 1
Sm2 0.109 0.109 0.674 1
```

---

# 8
The following is a PBE-GGA calculation of an optimized crystal structure of MgZn2B, from the Alexandria database.

Properties
Total magnetization in μB per cell: 0.00
Energy above the most stable polymorph in this dataset in meV/atom: 0
Formation energy from the elements in eV/atom: 0.53

The structure in CIF format:
```
data_MgZn2B
_cell_length_a 4.518
_cell_length_b 4.518
_cell_length_c 7.638
_cell_angle_alpha 72.80
_cell_angle_beta 72.80
_cell_angle_gamma 90.00
_symmetry_space_group_name_H-M 'P 1'
_symmetry_Int_Tables_number 1
loop_
_symmetry_equiv_pos_as_xyz
'x,y,z'
loop_
_atom_site_label
_atom_site_fract_x
_atom_site_fract_y
_atom_site_fract_z
_atom_site_occupancy
Zn1 0.457 0.125 0.250 1
Zn2 0.293 0.625 0.250 1
Zn3 0.875 0.707 0.750 1
Zn4 0.375 0.543 0.750 1
Mg1 0.750 0.250 0.500 1
Mg2 0.000 0.000 0.000 1
B1 0.500 0.500 0.000 1
B2 0.250 0.750 0.500 1
```

---

# 9
The following is a PBE-GGA calculation of an optimized crystal structure of BaSr2Ca, from the Alexandria database.

Properties
Total magnetization in μB per cell: 0.00
Energy above the most stable polymorph in this dataset in meV/atom: 5
Formation energy from the elements in eV/atom: 0.02

The structure in CIF format:
```
data_BaSr2Ca
_cell_length_a 4.773
_cell_length_b 6.645
_cell_length_c 6.662
_cell_angle_alpha 90.00
_cell_angle_beta 90.00
_cell_angle_gamma 90.00
_symmetry_space_group_name_H-M 'P 1'
_symmetry_Int_Tables_number 1
loop_
_symmetry_equiv_pos_as_xyz
'x,y,z'
loop_
_atom_site_label
_atom_site_fract_x
_atom_site_fract_y
_atom_site_fract_z
_atom_site_occupancy
Sr1 0.500 0.500 0.000 1
Sr2 0.000 0.000 0.000 1
Ba1 0.500 0.000 0.500 1
Ca1 0.000 0.500 0.500 1
```

---

# 10
The following is a PBE-GGA calculation of an optimized crystal structure of DyY3Tl4, from the Alexandria database.

Properties
Total magnetization in μB per cell: 0.00
Formation energy from the elements in eV/atom: -0.37

The structure in CIF format:
```
data_DyY3Tl4
_cell_length_a 3.794
_cell_length_b 3.794
_cell_length_c 15.181
_cell_angle_alpha 90.00
_cell_angle_beta 90.00
_cell_angle_gamma 90.00
_symmetry_space_group_name_H-M 'P 1'
_symmetry_Int_Tables_number 1
loop_
_symmetry_equiv_pos_as_xyz
'x,y,z'
loop_
_atom_site_label
_atom_site_fract_x
_atom_site_fract_y
_atom_site_fract_z
_atom_site_occupancy
Tl1 0.000 0.000 0.876 1
Tl2 0.000 0.000 0.625 1
Tl3 0.000 0.000 0.124 1
Tl4 0.000 0.000 0.375 1
Dy1 0.500 0.500 0.000 1
Y1 0.500 0.500 0.500 1
Y2 0.500 0.500 0.750 1
Y3 0.500 0.500 0.250 1
```

---

# 11
The following is a PBE-GGA calculation of an optimized crystal structure of ErThIn4, from the Alexandria database.

Properties
Total magnetization in μB per cell: 0.00
Formation energy from the elements in eV/atom: -0.25

The structure in CIF format:
```
data_ErThIn4
_cell_length_a 6.038
_cell_length_b 6.038
_cell_length_c 6.038
_cell_angle_alpha 60.00
_cell_angle_beta 60.00
_cell_angle_gamma 60.00
_symmetry_space_group_name_H-M 'P 1'
_symmetry_Int_Tables_number 1
loop_
_symmetry_equiv_pos_as_xyz
'x,y,z'
loop_
_atom_site_label
_atom_site_fract_x
_atom_site_fract_y
_atom_site_fract_z
_atom_site_occupancy
In1 0.625 0.625 0.125 1
In2 0.625 0.125 0.625 1
In3 0.125 0.625 0.625 1
In4 0.625 0.625 0.625 1
Th1 0.000 0.000 0.000 1
Er1 0.250 0.250 0.250 1
```

---

# 12
The following is a PBE-GGA calculation of an optimized crystal structure of HfTa2CoSb, from the Alexandria database.

Properties
Total magnetization in μB per cell: 0.00
ΔE_f (raw) in meV/atom: 347

The structure in CIF format:
```
data_HfTa2CoSb
_cell_length_a 4.610
_cell_length_b 4.802
_cell_length_c 4.610
_cell_angle_alpha 90.00
_cell_angle_beta 90.00
_cell_angle_gamma 90.00
_symmetry_space_group_name_H-M 'P 1'
_symmetry_Int_Tables_number 1
loop_
_symmetry_equiv_pos_as_xyz
'x,y,z'
loop_
_atom_site_label
_atom_site_fract_x
_atom_site_fract_y
_atom_site_fract_z
_atom_site_occupancy
Co1 0.000 0.000 0.000 1
Sb1 0.500 0.500 0.500 1
Ta1 0.000 0.000 0.500 1
Ta2 0.500 0.000 0.000 1
Hf1 0.000 0.500 0.000 1
```